Record 1
Here is a geometry-optimized AcTaN2 structure from Alexandria. Energies are from PBE.

a = 3.3770 Å, b = 3.3770 Å, c = 7.1562 Å
α = 76.35°, β = 76.35°, γ = 60.00°
Element x y z (fractional)
1 N 0.8800 0.8800 0.3601
2 N 0.1200 0.1200 0.6399
3 Ta 0.5000 0.5000 0.5000
4 Ac 0.0000 0.0000 0.0000

Results
ΔE_f (raw) = -0.57 eV/atom
crystal system = trigonal

Record 2
Here is a geometry-optimized La4ThAs5 structure from Alexandria. Energies are from PBE.

a = 6.1459 Å, b = 7.5298 Å, c = 7.5298 Å
α = 80.41°, β = 65.91°, γ = 65.91°
Element x y z (fractional)
1 As 0.7073 0.1958 0.3917
2 As 0.9031 0.3917 0.8042
3 As 0.0989 0.6083 0.1958
4 As 0.2948 0.8042 0.6083
5 As 0.5011 0.0000 0.0000
6 Th 0.0011 0.0000 0.0000
7 La 0.8018 0.7980 0.6004
8 La 0.4022 0.3996 0.7980
9 La 0.5998 0.6004 0.2020
10 La 0.2002 0.2020 0.3996

Results
energy of formation from the pure elements = -1.56 eV per atom
crystal system = tetragonal

Record 3
Here is a geometry-optimized Ba2ReBr structure from Alexandria. Energies are from PBE.

a = 4.4633 Å, b = 4.4633 Å, c = 9.0047 Å
α = 75.67°, β = 75.67°, γ = 59.89°
Element x y z (fractional)
1 Br 0.7500 0.7500 0.7500
2 Ba 0.5077 0.5077 0.4755
3 Ba 0.9923 0.9923 0.0245
4 Re 0.2500 0.2500 0.2500

Results
ΔE_f (raw) = 0.17 eV/atom
crystal system = monoclinic

Record 4
Here is a geometry-optimized CaTeO2F structure from Alexandria. Energies are from PBE.

a = 4.2448 Å, b = 4.2448 Å, c = 4.8345 Å
α = 90.00°, β = 90.00°, γ = 90.00°
Element x y z (fractional)
1 O 0.0000 0.5000 0.0000
2 O 0.5000 0.0000 0.0000
3 Ca 0.5000 0.5000 0.5000
4 Te 0.0000 0.0000 0.0000
5 F 0.0000 0.0000 0.5000

Results
ΔE_f (raw) = -1.44 eV/atom
crystal system = tetragonal

Computed spin magnetization, in the same sequence as the records: 0.0; 0.0; 2.2; 0.0 Bohr magnetons per cell.